No. 1
The following is a DFT calculation (GGA-PBE) of KGaSi after structural relaxation.

a = 12.389 Å, b = 12.389 Å, c = 9.050 Å
α = 46.81°, β = 46.81°, γ = 90.00°
Positions (direct):
K 0.500 0.721 0.000
Ga 0.782 0.218 0.000
Si 0.406 0.000 0.000
Si 0.000 0.406 0.000
Ga 0.218 0.218 0.000
K 0.721 0.500 0.000
Si 0.594 0.000 0.000
Si 0.000 0.594 0.000
K 0.279 0.500 0.000
Ga 0.218 0.782 0.000
K 0.500 0.279 0.000
Ga 0.782 0.782 0.000

Properties
Uncorrected formation energy ... 0.198 eV per atom
Space group ... I4/mmm, No. 139



No. 2
The following is a DFT calculation (GGA-PBE) of LiTlHg2F8 after structural relaxation.

a = 4.402 Å, b = 5.469 Å, c = 7.398 Å
α = 94.15°, β = 88.71°, γ = 93.63°
Positions (direct):
Hg 0.565 0.490 0.236
Li 0.000 0.000 0.000
F 0.900 0.162 0.244
Tl 0.000 0.000 0.500
F 0.424 0.243 0.482
F 0.916 0.305 0.707
F 0.100 0.838 0.756
F 0.642 0.749 0.009
F 0.358 0.251 0.991
F 0.084 0.695 0.293
F 0.576 0.757 0.518
Hg 0.435 0.510 0.764

Properties
Uncorrected formation energy ... -1.783 eV per atom
Space group ... P-1, No. 2



No. 3
The following is a DFT calculation (GGA-PBE) of Y2AlIn after structural relaxation.

a = 9.820 Å, b = 9.820 Å, c = 9.820 Å
α = 21.24°, β = 21.24°, γ = 21.24°
Positions (direct):
Al 0.250 0.250 0.250
Y 0.507 0.507 0.507
In 0.750 0.750 0.750
Y 0.993 0.993 0.993

Properties
E_form ... -0.283 eV per atom
Space group ... R-3m, No. 166



No. 4
The following is a DFT calculation (GGA-PBE) of Sr2YCdFe after structural relaxation.

a = 5.774 Å, b = 5.046 Å, c = 5.774 Å
α = 90.00°, β = 90.00°, γ = 90.00°
Positions (direct):
Sr 0.000 0.000 0.500
Sr 0.500 0.000 0.000
Y 0.000 0.500 0.000
Cd 0.500 0.500 0.500
Fe 0.000 0.000 0.000

Properties
E_form ... 0.314 eV per atom
Space group ... P4/mmm, No. 123



No. 5
The following is a DFT calculation (GGA-PBE) of Re4Tc2Os after structural relaxation.

a = 3.889 Å, b = 6.167 Å, c = 4.776 Å
α = 97.49°, β = 114.02°, γ = 90.00°
Positions (direct):
Re 0.858 0.573 0.716
Re 0.142 0.427 0.284
Re 0.286 0.858 0.572
Tc 0.431 0.285 0.862
Re 0.714 0.142 0.428
Tc 0.569 0.715 0.138
Os 0.000 0.000 0.000

Properties
E_form ... 0.055 eV per atom
Space group ... C2/m, No. 12



No. 6
The following is a DFT calculation (GGA-PBE) of LiCa2OsO6 after structural relaxation.

a = 5.421 Å, b = 5.677 Å, c = 7.685 Å
α = 90.00°, β = 89.41°, γ = 90.00°
Positions (direct):
O 0.596 0.030 0.262
Li 0.500 0.000 0.000
Ca 0.515 0.565 0.754
O 0.788 0.815 0.545
Li 0.000 0.500 0.500
O 0.322 0.720 0.447
Ca 0.015 0.935 0.254
O 0.178 0.220 0.053
O 0.904 0.530 0.238
Os 0.000 0.500 0.000
O 0.404 0.970 0.738
O 0.678 0.280 0.553
O 0.096 0.470 0.762
O 0.712 0.315 0.955
Ca 0.485 0.435 0.246
O 0.212 0.185 0.455
O 0.288 0.685 0.045
Ca 0.985 0.065 0.746
O 0.822 0.780 0.947
Os 0.500 0.000 0.500

Properties
Uncorrected formation energy ... -2.034 eV per atom
Space group ... P2_1/c, No. 14